# ZnReSb3, relaxed, DFT GGA-PBE
data_ZnReSb3
_cell_length_a 5.2099
_cell_length_b 5.2099
_cell_length_c 5.2099
_cell_angle_alpha 90.00
_cell_angle_beta 90.00
_cell_angle_gamma 90.00
_space_group_name_H-M_alt 'P m -3 m'
_space_group_IT_number 221
_space_group_name_Hall '-P 4 2 3'
loop_
_atom_site_label
_atom_site_type_symbol
_atom_site_fract_x
_atom_site_fract_y
_atom_site_fract_z
Zn1 Zn 0.0000 0.0000 0.0000
Re1 Re 0.5000 0.5000 0.5000
Sb1 Sb 0.0000 0.5000 0.5000
# D(E_F): 0.60 states/eV/atom
# ΔE_f (raw): 0.7121 eV/atom

# Zn2ReSb, relaxed, DFT GGA-PBE
data_Zn2ReSb
_cell_length_a 2.8141
_cell_length_b 4.0777
_cell_length_c 6.1271
_cell_angle_alpha 90.00
_cell_angle_beta 90.00
_cell_angle_gamma 90.00
_space_group_name_H-M_alt 'P m m m'
_space_group_IT_number 47
_space_group_name_Hall '-P 2 2'
loop_
_atom_site_label
_atom_site_type_symbol
_atom_site_fract_x
_atom_site_fract_y
_atom_site_fract_z
Zn1 Zn 0.0000 0.0000 0.2014
Re1 Re 0.5000 0.5000 0.0000
Sb1 Sb 0.5000 0.5000 0.5000
# D(E_F): 0.65 states/eV/atom
# ΔE_f (raw): 0.4721 eV/atom

# Zn2ReSb, relaxed, DFT GGA-PBE
data_Zn2ReSb
_cell_length_a 9.4223
_cell_length_b 3.0610
_cell_length_c 4.8222
_cell_angle_alpha 90.00
_cell_angle_beta 97.98
_cell_angle_gamma 90.00
_space_group_name_H-M_alt 'C 1 m 1'
_space_group_IT_number 8
_space_group_name_Hall 'C -2y'
loop_
_atom_site_label
_atom_site_type_symbol
_atom_site_fract_x
_atom_site_fract_y
_atom_site_fract_z
Zn1 Zn 0.0000 0.0000 0.0000
Zn2 Zn 0.2407 0.0000 0.7995
Re1 Re 0.2282 0.5000 0.2744
Sb1 Sb 0.4630 0.0000 0.4655
# D(E_F): 0.43 states/eV/atom
# ΔE_f (raw): 0.3995 eV/atom

# Zn2ReSb, relaxed, DFT GGA-PBE
data_Zn2ReSb
_cell_length_a 3.3090
_cell_length_b 3.9801
_cell_length_c 5.5536
_cell_angle_alpha 90.00
_cell_angle_beta 107.04
_cell_angle_gamma 90.00
_space_group_name_H-M_alt 'P 1 m 1'
_space_group_IT_number 6
_space_group_name_Hall 'P -2y'
loop_
_atom_site_label
_atom_site_type_symbol
_atom_site_fract_x
_atom_site_fract_y
_atom_site_fract_z
Zn1 Zn 0.0000 0.0000 0.0000
Zn2 Zn 0.4445 0.5000 0.8872
Re1 Re 0.1570 0.5000 0.3143
Sb1 Sb 0.7492 0.0000 0.5023
# D(E_F): 0.79 states/eV/atom
# ΔE_f (raw): 0.3394 eV/atom

# ZnReSb2, relaxed, DFT GGA-PBE
data_ZnReSb2
_cell_length_a 5.9456
_cell_length_b 7.5826
_cell_length_c 3.4294
_cell_angle_alpha 90.00
_cell_angle_beta 90.26
_cell_angle_gamma 90.00
_space_group_name_H-M_alt 'C 1 2/m 1'
_space_group_IT_number 12
_space_group_name_Hall '-C 2y'
loop_
_atom_site_label
_atom_site_type_symbol
_atom_site_fract_x
_atom_site_fract_y
_atom_site_fract_z
Zn1 Zn 0.0000 0.0000 0.0000
Re1 Re 0.0000 0.5000 0.0000
Sb1 Sb 0.2500 0.2500 0.5000
# D(E_F): 0.80 states/eV/atom
# ΔE_f (raw): 0.6304 eV/atom

# Zn2ReSb, relaxed, DFT GGA-PBE
data_Zn2ReSb
_cell_length_a 3.4064
_cell_length_b 4.3690
_cell_length_c 4.5256
_cell_angle_alpha 90.00
_cell_angle_beta 90.00
_cell_angle_gamma 90.00
_space_group_name_H-M_alt 'P m m m'
_space_group_IT_number 47
_space_group_name_Hall '-P 2 2'
loop_
_atom_site_label
_atom_site_type_symbol
_atom_site_fract_x
_atom_site_fract_y
_atom_site_fract_z
Zn1 Zn 0.0000 0.0000 0.0000
Zn2 Zn 0.5000 0.5000 0.0000
Re1 Re 0.0000 0.5000 0.5000
Sb1 Sb 0.5000 0.0000 0.5000
# D(E_F): 0.73 states/eV/atom
# ΔE_f (raw): 0.5427 eV/atom

# Zn2ReSb, relaxed, DFT GGA-PBE
data_Zn2ReSb
_cell_length_a 3.8930
_cell_length_b 3.8930
_cell_length_c 8.7562
_cell_angle_alpha 90.00
_cell_angle_beta 90.00
_cell_angle_gamma 90.00
_space_group_name_H-M_alt 'I 4/m m m'
_space_group_IT_number 139
_space_group_name_Hall '-I 4 2'
loop_
_atom_site_label
_atom_site_type_symbol
_atom_site_fract_x
_atom_site_fract_y
_atom_site_fract_z
Zn1 Zn 0.0000 0.5000 0.2500
Re1 Re 0.0000 0.0000 0.0000
Sb1 Sb 0.0000 0.0000 0.5000
# D(E_F): 0.52 states/eV/atom
# ΔE_f (raw): 0.4441 eV/atom

# ZnReSb2, relaxed, DFT GGA-PBE
data_ZnReSb2
_cell_length_a 3.2399
_cell_length_b 3.2624
_cell_length_c 8.0202
_cell_angle_alpha 90.00
_cell_angle_beta 90.72
_cell_angle_gamma 90.00
_space_group_name_H-M_alt 'P 1 2/m 1'
_space_group_IT_number 10
_space_group_name_Hall '-P 2y'
loop_
_atom_site_label
_atom_site_type_symbol
_atom_site_fract_x
_atom_site_fract_y
_atom_site_fract_z
Zn1 Zn 0.0000 0.0000 0.0000
Re1 Re 0.0000 0.0000 0.5000
Sb1 Sb 0.4942 0.5000 0.2927
# D(E_F): 0.49 states/eV/atom
# ΔE_f (raw): 0.3243 eV/atom

# ZnRe2Sb, relaxed, DFT GGA-PBE
data_ZnRe2Sb
_cell_length_a 3.0071
_cell_length_b 3.0071
_cell_length_c 8.4953
_cell_angle_alpha 90.00
_cell_angle_beta 90.00
_cell_angle_gamma 90.00
_space_group_name_H-M_alt 'P 4 m m'
_space_group_IT_number 99
_space_group_name_Hall 'P 4 -2'
loop_
_atom_site_label
_atom_site_type_symbol
_atom_site_fract_x
_atom_site_fract_y
_atom_site_fract_z
Zn1 Zn 0.0000 0.0000 0.0000
Re1 Re 0.0000 0.0000 0.3805
Re2 Re 0.5000 0.5000 0.1985
Sb1 Sb 0.5000 0.5000 0.6165
# D(E_F): 0.94 states/eV/atom
# ΔE_f (raw): 0.2403 eV/atom

# ZnRe2Sb, relaxed, DFT GGA-PBE
data_ZnRe2Sb
_cell_length_a 6.3413
_cell_length_b 6.3413
_cell_length_c 6.3413
_cell_angle_alpha 90.00
_cell_angle_beta 90.00
_cell_angle_gamma 90.00
_space_group_name_H-M_alt 'F m -3 m'
_space_group_IT_number 225
_space_group_name_Hall '-F 4 2 3'
loop_
_atom_site_label
_atom_site_type_symbol
_atom_site_fract_x
_atom_site_fract_y
_atom_site_fract_z
Zn1 Zn 0.0000 0.0000 0.0000
Re1 Re 0.2500 0.2500 0.2500
Sb1 Sb 0.0000 0.0000 0.5000
# D(E_F): 1.01 states/eV/atom
# ΔE_f (raw): 0.6061 eV/atom

# ZnRe2Sb, relaxed, DFT GGA-PBE
data_ZnRe2Sb
_cell_length_a 4.0642
_cell_length_b 4.0642
_cell_length_c 7.8821
_cell_angle_alpha 90.00
_cell_angle_beta 90.00
_cell_angle_gamma 90.00
_space_group_name_H-M_alt 'I 4/m m m'
_space_group_IT_number 139
_space_group_name_Hall '-I 4 2'
loop_
_atom_site_label
_atom_site_type_symbol
_atom_site_fract_x
_atom_site_fract_y
_atom_site_fract_z
Zn1 Zn 0.0000 0.0000 0.0000
Re1 Re 0.0000 0.5000 0.2500
Sb1 Sb 0.0000 0.0000 0.5000
# D(E_F): 1.30 states/eV/atom
# ΔE_f (raw): 0.7486 eV/atom

# ZnRe2Sb, relaxed, DFT GGA-PBE
data_ZnRe2Sb
_cell_length_a 6.4324
_cell_length_b 6.4324
_cell_length_c 6.4324
_cell_angle_alpha 90.00
_cell_angle_beta 90.00
_cell_angle_gamma 90.00
_space_group_name_H-M_alt 'F -4 3 m'
_space_group_IT_number 216
_space_group_name_Hall 'F -4 2 3'
loop_
_atom_site_label
_atom_site_type_symbol
_atom_site_fract_x
_atom_site_fract_y
_atom_site_fract_z
Zn1 Zn 0.0000 0.0000 0.0000
Re1 Re 0.0000 0.0000 0.5000
Re2 Re 0.2500 0.2500 0.7500
Sb1 Sb 0.2500 0.2500 0.2500
# D(E_F): 0.93 states/eV/atom
# ΔE_f (raw): 0.6383 eV/atom